Record 1
A relaxed AcAgBiRh crystal. Source: the Alexandria database, functional PBE-GGA.

Lattice parameters (Å, degrees): 5.179 5.179 5.179 60.00 60.00 60.00
Element x y z (fractional)
Bi: 0.000 0.000 0.000
Ag: 0.250 0.250 0.250
Rh: 0.750 0.750 0.750
Ac: 0.500 0.500 0.500

Properties
SG   F-43m, No. 216
Formation enthalpy at 0 K   -29.5 kJ/mol of atoms
Density of states at the Fermi level   2.97 states/eV/cell


Record 2
A relaxed Tb6CeEr2Tm3 crystal. Source: the Alexandria database, functional PBE-GGA.

Lattice parameters (Å, degrees): 6.119 6.119 11.702 95.00 95.00 119.98
Element x y z (fractional)
Tb: 0.248 0.248 0.749
Tb: 0.916 0.585 0.749
Tm: 0.500 0.500 0.500
Tb: 0.084 0.415 0.251
Tb: 0.585 0.916 0.749
Tm: 0.167 0.833 0.500
Ce: 0.000 0.000 0.000
Tb: 0.752 0.752 0.251
Er: 0.667 0.333 0.000
Er: 0.333 0.667 0.000
Tm: 0.833 0.167 0.500
Tb: 0.415 0.084 0.251

Properties
SG   C2/m, No. 12
Formation enthalpy at 0 K   3.7 kJ/mol of atoms
Density of states at the Fermi level   19.47 states/eV/cell


Record 3
A relaxed ZnSiMoSe2 crystal. Source: the Alexandria database, functional PBE-GGA.

Lattice parameters (Å, degrees): 4.857 5.034 4.857 90.00 90.00 90.00
Element x y z (fractional)
Mo: 0.000 0.000 0.000
Si: 0.500 0.500 0.500
Se: 0.000 0.000 0.500
Se: 0.500 0.000 0.000
Zn: 0.000 0.500 0.000

Properties
SG   P4/mmm, No. 123
Density of states at the Fermi level   4.45 states/eV/cell
E_form (uncorrected)   3.44 eV per formula unit


Record 4
A relaxed Pm5NpP6 crystal. Source: the Alexandria database, functional PBE-GGA.

Lattice parameters (Å, degrees): 7.099 7.099 7.097 99.60 99.60 119.99
Element x y z (fractional)
Pm: 0.500 0.500 0.500
P: 0.759 0.759 0.244
Pm: 0.666 0.334 0.000
P: 0.081 0.405 0.244
Np: 0.000 0.000 0.000
Pm: 0.169 0.831 0.500
P: 0.405 0.081 0.244
P: 0.595 0.919 0.756
P: 0.241 0.241 0.756
P: 0.919 0.595 0.756
Pm: 0.831 0.169 0.500
Pm: 0.334 0.666 0.000

Properties
SG   C2/m, No. 12
Formation enthalpy at 0 K   -139.1 kJ/mol of atoms
Density of states at the Fermi level   12.20 states/eV/cell


Record 5
A relaxed CsNa6Cd2 crystal. Source: the Alexandria database, functional PBE-GGA.

Lattice parameters (Å, degrees): 5.790 5.790 10.289 90.00 90.00 90.00
Element x y z (fractional)
Na: 0.000 0.500 0.704
Cd: 0.500 0.500 0.854
Cs: 0.000 0.000 0.000
Na: 0.500 0.000 0.704
Na: 0.500 0.500 0.500
Na: 0.000 0.500 0.296
Na: 0.000 0.000 0.500
Cd: 0.500 0.500 0.146
Na: 0.500 0.000 0.296

Properties
SG   P4/mmm, No. 123
Formation enthalpy at 0 K   -0.4 kJ/mol of atoms
Density of states at the Fermi level   5.39 states/eV/cell


Record 6
A relaxed La2PaZn crystal. Source: the Alexandria database, functional PBE-GGA.

Lattice parameters (Å, degrees): 4.127 4.127 9.902 77.97 77.97 60.00
Element x y z (fractional)
Pa: 0.500 0.500 0.500
La: 0.111 0.111 0.667
Zn: 0.000 0.000 0.000
La: 0.889 0.889 0.333

Properties
SG   R-3m, No. 166
Formation enthalpy at 0 K   83.4 kJ/mol of atoms
Relative energy among the computed polymorphs   868 meV/atom
Density of states at the Fermi level   4.88 states/eV/cell


Record 7
A relaxed Sr3DyAl8 crystal. Source: the Alexandria database, functional PBE-GGA.

Lattice parameters (Å, degrees): 5.765 5.765 10.029 73.30 73.30 60.00
Element x y z (fractional)
Al: 0.188 0.188 0.437
Al: 0.436 0.436 0.194
Al: 0.938 0.938 0.681
Sr: 0.375 0.375 0.875
Sr: 0.000 0.000 0.000
Dy: 0.875 0.875 0.376
Al: 0.436 0.934 0.194
Al: 0.443 0.938 0.681
Al: 0.938 0.443 0.681
Al: 0.688 0.688 0.937
Al: 0.934 0.436 0.194
Sr: 0.500 0.500 0.500

Properties
SG   R3m, No. 160
Formation enthalpy at 0 K   -29.0 kJ/mol of atoms
Density of states at the Fermi level   5.83 states/eV/cell


Record 8
A relaxed RbInPt4 crystal. Source: the Alexandria database, functional PBE-GGA.

Lattice parameters (Å, degrees): 5.515 5.515 5.515 60.00 60.00 60.00
Element x y z (fractional)
In: 0.000 0.000 0.000
Pt: 0.626 0.626 0.123
Rb: 0.250 0.250 0.250
Pt: 0.626 0.123 0.626
Pt: 0.123 0.626 0.626
Pt: 0.626 0.626 0.626

Properties
SG   F-43m, No. 216
Formation enthalpy at 0 K   -7.7 kJ/mol of atoms
Density of states at the Fermi level   7.81 states/eV/cell


Record 9
A relaxed CrGeBiC2 crystal. Source: the Alexandria database, functional PBE-GGA.

Lattice parameters (Å, degrees): 4.394 5.599 4.394 90.00 90.00 90.00
Element x y z (fractional)
C: 0.500 0.000 0.000
C: 0.000 0.000 0.500
Cr: 0.500 0.500 0.500
Bi: 0.000 0.000 0.000
Ge: 0.000 0.500 0.000

Properties
SG   P4/mmm, No. 123
Formation enthalpy at 0 K   305.5 kJ/mol of atoms
Density of states at the Fermi level   4.05 states/eV/cell


Record 10
A relaxed Sc2CdSe crystal. Source: the Alexandria database, functional PBE-GGA.

Lattice parameters (Å, degrees): 3.498 3.392 7.547 71.44 90.00 90.00
Element x y z (fractional)
Sc: 0.000 0.049 0.019
Sc: 0.000 0.451 0.481
Cd: 0.500 0.750 0.750
Se: 0.500 0.250 0.250

Properties
SG   P2/m, No. 10
Relative energy among the computed polymorphs   162 meV/atom
Density of states at the Fermi level   4.68 states/eV/cell
E_form (uncorrected)   -2.85 eV per formula unit


Record 11
A relaxed TaFeHg2Au crystal. Source: the Alexandria database, functional PBE-GGA.

Lattice parameters (Å, degrees): 4.960 4.399 4.960 90.00 90.00 90.00
Element x y z (fractional)
Fe: 0.000 0.000 0.000
Au: 0.500 0.500 0.500
Hg: 0.500 0.000 0.000
Hg: 0.000 0.000 0.500
Ta: 0.000 0.500 0.000

Properties
SG   P4/mmm, No. 123
Formation enthalpy at 0 K   78.4 kJ/mol of atoms
Density of states at the Fermi level   3.70 states/eV/cell


Record 12
A relaxed LaEuCl crystal. Source: the Alexandria database, functional PBE-GGA.

Lattice parameters (Å, degrees): 3.920 3.920 7.298 90.00 90.00 120.00
Element x y z (fractional)
Cl: 0.333 0.667 0.668
Eu: 0.000 0.000 0.959
La: 0.667 0.333 0.374

Properties
SG   P3m1, No. 156
Density of states at the Fermi level   5.34 states/eV/cell
E_form (uncorrected)   -3.03 eV per formula unit